VASP calculation (PBE+U) on crystalline MoAsSe2F at its relaxed geometry.

Values from the calculation:
- mass density (g/cm³) = 5.6
- final energy (eV/atom) = -3.716

abc: 5.099 5.099 3.971
angles: 90.00 90.00 90.00
Space group P4/mmm (No. 123)
One atom of each set of equivalent atoms:
1 Mo 0.000 0.000 0.000 x1
2 As 0.500 0.500 0.000 x1
3 Se 0.000 0.500 0.500 x2
4 F 0.500 0.500 0.500 x1